[1]
Material: Hf2NiRh2
Method: DFT, GGA-PBEsol
State: relaxed

Density of states at the Fermi level   0.674 states/eV per atom
Crystal system   tetragonal
DFT formation energy   -0.13 eV/atom

The structure in CIF format:
```
data_Hf2NiRh2
_chemical_formula_sum 'Hf4 Ni2 Rh4'
_cell_length_a 4.890
_cell_length_b 4.890
_cell_length_c 7.551
_cell_angle_alpha 90.00
_cell_angle_beta 90.00
_cell_angle_gamma 90.00
_symmetry_space_group_name_H-M 'I 4/m m m'
_symmetry_Int_Tables_number 139
_symmetry_space_group_name_Hall '-I 4 2'
loop_
_atom_site_label
_atom_site_fract_x
_atom_site_fract_y
_atom_site_fract_z
_atom_site_occupancy
Hf1 0.000 0.500 0.250 1
Ni1 0.000 0.000 0.000 1
Rh1 0.000 0.000 0.336 1
```

---

[2]
Material: Hf2Ni2Rh
Method: DFT, GGA-PBEsol
State: relaxed

Density of states at the Fermi level   0.952 states/eV per atom
Crystal system   tetragonal
DFT formation energy   -0.61 eV/atom

The structure in CIF format:
```
data_Hf2Ni2Rh
_chemical_formula_sum 'Hf4 Ni4 Rh2'
_cell_length_a 6.817
_cell_length_b 6.817
_cell_length_c 3.197
_cell_angle_alpha 90.00
_cell_angle_beta 90.00
_cell_angle_gamma 90.00
_symmetry_space_group_name_H-M 'P 4/m b m'
_symmetry_Int_Tables_number 127
_symmetry_space_group_name_Hall '-P 4 2ab'
loop_
_atom_site_label
_atom_site_fract_x
_atom_site_fract_y
_atom_site_fract_z
_atom_site_occupancy
Hf1 0.179 0.321 0.000 1
Ni1 0.123 0.623 0.500 1
Rh1 0.000 0.000 0.500 1
```

---

[3]
Material: Hf4NiRh
Method: DFT, GGA-PBEsol
State: relaxed

Density of states at the Fermi level   0.863 states/eV per atom
Crystal system   cubic
DFT formation energy   -0.48 eV/atom

The structure in CIF format:
```
data_Hf4NiRh
_chemical_formula_sum 'Hf64 Ni16 Rh16'
_cell_length_a 12.015
_cell_length_b 12.015
_cell_length_c 12.015
_cell_angle_alpha 90.00
_cell_angle_beta 90.00
_cell_angle_gamma 90.00
_symmetry_space_group_name_H-M 'F -4 3 m'
_symmetry_Int_Tables_number 216
_symmetry_space_group_name_Hall 'F -4 2 3'
loop_
_atom_site_label
_atom_site_fract_x
_atom_site_fract_y
_atom_site_fract_z
_atom_site_occupancy
Hf1 0.000 0.000 0.186 1
Hf2 0.053 0.250 0.250 1
Hf3 0.109 0.109 0.609 1
Ni1 0.105 0.105 0.395 1
Rh1 0.167 0.167 0.833 1
```